VASP calculation (PBE) on BeC after structural relaxation.

The space group is P4_2/mnm (No. 136) and the conventional cell measures 4.926, 4.926 and 2.846 Å, with angles of 90.00, 90.00 and 90.00 degrees. The asymmetric unit holds Be at (0.246, 0.246, 0.000) and C at (0.099, 0.901, 0.000).

Its formation energy is 72.5 kJ/mol of formula units. The calculation puts the energy above the most stable polymorph in this dataset at 56 meV per atom.